# 1
Below is crystalline Sr2GeO at its relaxed geometry, with properties calculated at the PBE-GGA level.

The relative energy among the computed polymorphs comes out at 652 meV per atom. The value obtained for the uncorrected formation energy is -0.6782 eV per atom. The calculation puts the total energy at -0.2876 Ry per atom.

abc: 5.183 5.183 5.183
angles: 60.00 60.00 60.00
Fractional positions:
Ge: 0.500 0.500 0.500
O: 0.000 0.000 0.000
Sr: 0.750 0.750 0.750
Sr: 0.250 0.250 0.250

# 2
Below is crystalline SrGeO3 at its relaxed geometry, with properties calculated at the PBE-GGA level.

The value obtained for the uncorrected formation energy is -2.3250 eV per atom. The calculation puts the total energy at -0.4821 Ry per atom.

abc: 8.772 10.081 11.316
angles: 73.89 89.93 77.77
Fractional positions:
O: 0.409 0.392 0.155
Sr: 0.430 0.350 0.843
Ge: 0.997 0.008 0.748
O: 0.133 0.261 0.499
O: 0.623 0.128 0.176
Ge: 0.497 0.007 0.249
O: 0.257 0.740 0.129
Sr: 0.920 0.343 0.988
Ge: 0.245 0.705 0.288
Sr: 0.918 0.351 0.335
O: 0.371 0.739 0.624
Sr: 0.570 0.650 0.157
O: 0.496 0.915 0.140
O: 0.226 0.399 0.670
Sr: 0.748 0.003 0.508
O: 0.920 0.597 0.847
O: 0.543 0.916 0.403
O: 0.457 0.084 0.597
Ge: 0.100 0.297 0.640
O: 0.751 0.740 0.004
O: 0.422 0.603 0.365
O: 0.774 0.601 0.330
Sr: 0.252 0.997 0.492
O: 0.377 0.872 0.824
O: 0.996 0.916 0.902
O: 0.249 0.260 0.996
Ge: 0.003 0.992 0.252
O: 0.270 0.603 0.857
O: 0.185 0.870 0.326
O: 0.902 0.394 0.648
Sr: 0.080 0.657 0.012
O: 0.629 0.261 0.376
Ge: 0.604 0.292 0.217
O: 0.578 0.397 0.635
Sr: 0.749 0.998 0.010
O: 0.004 0.084 0.098
O: 0.882 0.867 0.238
O: 0.098 0.606 0.352
Ge: 0.755 0.295 0.712
O: 0.118 0.133 0.762
Sr: 0.082 0.649 0.665
O: 0.815 0.130 0.674
O: 0.686 0.868 0.740
Ge: 0.396 0.708 0.783
O: 0.591 0.608 0.845
O: 0.867 0.739 0.501
O: 0.955 0.086 0.359
Sr: 0.599 0.649 0.514
O: 0.730 0.397 0.143
O: 0.504 0.085 0.860
Sr: 0.401 0.351 0.486
Sr: 0.251 0.002 0.990
Ge: 0.900 0.703 0.360
Ge: 0.503 0.993 0.751
O: 0.045 0.914 0.641
O: 0.743 0.260 0.871
Ge: 0.741 0.703 0.863
O: 0.080 0.403 0.153
Ge: 0.259 0.297 0.137
O: 0.314 0.132 0.260

# 3
Below is crystalline Sr2Ge2O at its relaxed geometry, with properties calculated at the PBE-GGA level.

The relative energy among the computed polymorphs comes out at 50 meV per atom. The value obtained for the uncorrected formation energy is -0.8088 eV per atom. The calculation puts the total energy at -0.3175 Ry per atom.

abc: 7.302 7.302 5.059
angles: 90.00 90.00 90.00
Fractional positions:
Sr: 0.205 0.295 0.000
O: 0.000 0.000 0.000
Ge: 0.110 0.610 0.500
Sr: 0.705 0.205 0.000
Sr: 0.295 0.795 0.000
Ge: 0.610 0.890 0.500
O: 0.500 0.500 0.000
Ge: 0.390 0.110 0.500
Ge: 0.890 0.390 0.500
Sr: 0.795 0.705 0.000

# 4
Below is crystalline Sr2Ge2O at its relaxed geometry, with properties calculated at the PBE-GGA level.

The relative energy among the computed polymorphs comes out at 0 meV per atom. The value obtained for the uncorrected formation energy is -0.8587 eV per atom. The calculation puts the total energy at -0.3212 Ry per atom.

abc: 3.636 3.636 8.795
angles: 78.07 78.07 90.00
Fractional positions:
Sr: 0.409 0.409 0.181
Ge: 0.250 0.750 0.500
Ge: 0.750 0.250 0.500
O: 0.000 0.000 0.000
Sr: 0.591 0.591 0.819

# 5
Below is crystalline SrTaGeO5 at its relaxed geometry, with properties calculated at the PBE-GGA level.

The value obtained for the uncorrected formation energy is -2.4332 eV per atom. The calculation puts the total energy at -0.5734 Ry per atom.

abc: 5.938 5.938 7.735
angles: 105.77 105.77 105.43
Fractional positions:
O: 0.248 0.356 0.606
O: 0.752 0.644 0.394
Ta: 0.000 0.000 0.500
O: 0.950 0.050 0.750
Ge: 0.312 0.688 0.750
O: 0.050 0.950 0.250
Ge: 0.688 0.312 0.250
O: 0.294 0.887 0.589
O: 0.356 0.248 0.106
Sr: 0.322 0.678 0.250
O: 0.887 0.294 0.089
O: 0.113 0.706 0.911
O: 0.644 0.752 0.894
Sr: 0.678 0.322 0.750
O: 0.706 0.113 0.411
Ta: 0.000 0.000 0.000

# 6
Below is crystalline Sr2TbGeO6 at its relaxed geometry, with properties calculated at the PBE-GGA level.

The value obtained for the uncorrected formation energy is -2.5030 eV per atom. The calculation puts the total energy at -0.4953 Ry per atom.

abc: 5.827 5.827 5.827
angles: 60.00 60.00 60.00
Fractional positions:
Tb: 0.500 0.500 0.500
O: 0.769 0.231 0.231
O: 0.769 0.231 0.769
O: 0.231 0.231 0.769
Sr: 0.750 0.750 0.750
O: 0.769 0.769 0.231
Sr: 0.250 0.250 0.250
O: 0.231 0.769 0.231
Ge: 0.000 0.000 0.000
O: 0.231 0.769 0.769

# 7
Below is crystalline SrGeTe2O8 at its relaxed geometry, with properties calculated at the PBE-GGA level.

The value obtained for the uncorrected formation energy is -1.3148 eV per atom. The calculation puts the total energy at -0.4167 Ry per atom.

abc: 4.904 4.902 6.768
angles: 90.00 90.00 84.91
Fractional positions:
O: 0.805 0.196 0.202
Sr: 0.000 0.000 0.500
O: 0.309 0.308 0.000
O: 0.336 0.335 0.500
O: 0.691 0.692 0.000
O: 0.664 0.665 0.500
Te: 0.500 0.500 0.763
Te: 0.500 0.500 0.237
O: 0.195 0.804 0.202
O: 0.805 0.196 0.798
O: 0.195 0.804 0.798
Ge: 0.000 0.000 0.000

# 8
Below is crystalline SrGeTeO6 at its relaxed geometry, with properties calculated at the PBE-GGA level.

The value obtained for the uncorrected formation energy is -1.8076 eV per atom. The calculation puts the total energy at -0.4529 Ry per atom.

abc: 5.150 5.150 10.967
angles: 90.00 90.00 120.00
Fractional positions:
Sr: 0.000 0.000 0.500
Ge: 0.667 0.333 0.250
O: 0.621 0.617 0.150
O: 0.379 0.383 0.850
O: 0.996 0.379 0.150
Te: 0.667 0.333 0.750
O: 0.621 0.004 0.350
O: 0.617 0.621 0.650
O: 0.617 0.996 0.850
Sr: 0.000 0.000 0.000
O: 0.004 0.621 0.850
Te: 0.333 0.667 0.250
O: 0.004 0.383 0.650
O: 0.383 0.004 0.150
O: 0.379 0.996 0.650
O: 0.383 0.379 0.350
Ge: 0.333 0.667 0.750
O: 0.996 0.617 0.350

# 9
Below is crystalline SrThGe2O8 at its relaxed geometry, with properties calculated at the PBE-GGA level.

The value obtained for the uncorrected formation energy is -2.1686 eV per atom. The calculation puts the total energy at -0.5146 Ry per atom.

abc: 5.274 5.274 6.984
angles: 112.18 112.18 90.00
Fractional positions:
O: 0.326 0.929 0.352
Th: 0.750 0.250 0.500
O: 0.667 0.289 0.831
Ge: 0.500 0.500 0.000
Sr: 0.000 0.000 0.000
O: 0.165 0.542 0.831
O: 0.026 0.423 0.352
Ge: 0.250 0.750 0.500
O: 0.458 0.333 0.169
O: 0.577 0.674 0.648
O: 0.071 0.974 0.648
O: 0.711 0.835 0.169

# 10
Below is crystalline Sr2TiGeO6 at its relaxed geometry, with properties calculated at the PBE-GGA level.

The value obtained for the uncorrected formation energy is -2.6884 eV per atom. The calculation puts the total energy at -0.5329 Ry per atom.

abc: 5.510 5.510 7.792
angles: 90.00 90.00 90.00
Fractional positions:
Sr: 0.000 0.250 0.750
Ti: 0.500 0.250 0.500
O: 0.747 0.004 0.000
O: 0.747 0.497 0.000
Ti: 0.000 0.750 0.000
O: 0.753 0.503 0.500
Ge: 0.000 0.750 0.500
O: 0.500 0.250 0.753
O: 0.247 0.503 0.500
O: 0.253 0.004 0.000
Sr: 0.500 0.750 0.250
O: 0.000 0.750 0.253
O: 0.753 0.996 0.500
O: 0.500 0.250 0.247
O: 0.253 0.497 0.000
Sr: 0.500 0.750 0.750
O: 0.000 0.750 0.747
O: 0.247 0.996 0.500
Ge: 0.500 0.250 0.000
Sr: 0.000 0.250 0.250

# 11
Below is crystalline Sr3TiGe2O9 at its relaxed geometry, with properties calculated at the PBE-GGA level.

The value obtained for the uncorrected formation energy is -2.5209 eV per atom. The calculation puts the total energy at -0.5126 Ry per atom.

abc: 5.492 5.492 6.726
angles: 90.00 90.00 120.00
Fractional positions:
Ge: 0.333 0.667 0.166
O: 0.500 0.000 0.000
O: 0.169 0.338 0.330
O: 0.338 0.169 0.670
O: 0.831 0.662 0.670
O: 0.662 0.831 0.330
Sr: 0.333 0.667 0.670
Sr: 0.667 0.333 0.330
Ti: 0.000 0.000 0.500
O: 0.000 0.500 0.000
Ge: 0.667 0.333 0.834
O: 0.831 0.169 0.670
Sr: 0.000 0.000 0.000
O: 0.169 0.831 0.330
O: 0.500 0.500 0.000

# 12
Below is crystalline SrTl2Ge2O6 at its relaxed geometry, with properties calculated at the PBE-GGA level.

The value obtained for the uncorrected formation energy is -1.6685 eV per atom. The calculation puts the total energy at -0.4260 Ry per atom.

abc: 6.305 6.573 8.084
angles: 129.88 90.00 118.66
Fractional positions:
Ge: 0.989 0.978 0.156
O: 0.731 0.927 0.240
Tl: 0.711 0.422 0.164
O: 0.163 0.326 0.183
O: 0.269 0.073 0.760
O: 0.837 0.674 0.817
O: 0.804 0.073 0.760
Sr: 0.500 0.000 0.500
O: 0.196 0.927 0.240
Tl: 0.289 0.578 0.836
Ge: 0.011 0.022 0.844

Q: Look up the total energy of the second one.
A: -0.4821 Ry per atom

Q: Among the records above, which one has the lowest total energy?
A: SrTaGeO5

Q: What is the total energy in the eleventh record?
A: -0.5126 Ry per atom